1.
{"formula": "Nd2NpSe4", "functional": "PBE-GGA", "state": "relaxed", "lattice_angstrom": [[4.103, 0.000, 0.000], [-2.052, 6.962, 0.000], [0.000, 0.000, 14.008]], "species": ["Se", "Np", "Nd", "Nd", "Se", "Nd", "Se", "Nd", "Se", "Np", "Se", "Se", "Se", "Se"], "frac_coords": [[0.223, 0.447, 0.626], [0.378, 0.755, 0.250], [0.867, 0.735, 0.931], [0.133, 0.265, 0.431], [0.777, 0.553, 0.126], [0.867, 0.735, 0.569], [0.027, 0.055, 0.250], [0.133, 0.265, 0.069], [0.973, 0.945, 0.750], [0.622, 0.245, 0.750], [0.500, 0.000, 0.500], [0.223, 0.447, 0.874], [0.777, 0.553, 0.374], [0.500, 0.000, 0.000]], "space_group": "Cmcm", "formation_energy_uncorrected_mev_per_atom": -1582, "m_tot_mub_per_fu": 4.40, "dos_at_fermi_per_ev_atom": 1.439, "dft_energy_ev_per_fu": -47.5}

2.
{"formula": "RbCuSi", "functional": "PBE-GGA", "state": "relaxed", "lattice_angstrom": [[-5.094, 2.302, 1.393], [-1.751, -3.630, -0.404], [1.496, 1.139, 3.588]], "species": ["Si", "Cu", "Rb"], "frac_coords": [[0.166, 0.667, 0.333], [0.167, 0.000, 0.000], [0.666, 0.333, 0.667]], "space_group": "P-6m2", "formation_energy_uncorrected_mev_per_atom": 250, "m_tot_mub_per_fu": 0.22, "dos_at_fermi_per_ev_atom": 0.973, "dft_energy_ev_per_fu": -9.7}

Question: What is the formula in the second record?
Answer: RbCuSi

Question: Which formula does entry 2 have?
Answer: RbCuSi